*one*
A plane-wave DFT calculation with GGA-PBE was carried out for a relaxed structure of CoGeIrW.

a b c (Å): 6.0979 6.0979 6.0979
angles (deg): 90.00 90.00 90.00
Space group F-43m (No. 216)
Inequivalent atoms, fractional coordinates:
Co: 0.0000 0.0000 0.0000
Ge: 0.2500 0.2500 0.7500
Ir: 0.2500 0.2500 0.2500
W: 0.0000 0.0000 0.5000


*two*
A plane-wave DFT calculation with GGA-PBE was carried out for a relaxed structure of CoGeIrW.

a b c (Å): 6.1091 6.1091 6.1091
angles (deg): 90.00 90.00 90.00
Space group F-43m (No. 216)
Inequivalent atoms, fractional coordinates:
Co: 0.0000 0.0000 0.0000
Ge: 0.2500 0.2500 0.7500
Ir: 0.0000 0.0000 0.5000
W: 0.2500 0.2500 0.2500


Which of them is most stable? Easy: *one*.


*one*
A plane-wave DFT calculation with GGA-PBE was carried out for a relaxed structure of LaMgCoGe.

a b c (Å): 6.9016 6.9016 6.9016
angles (deg): 90.00 90.00 90.00
Space group F-43m (No. 216)
Inequivalent atoms, fractional coordinates:
La: 0.0000 0.0000 0.0000
Mg: 0.0000 0.0000 0.5000
Co: 0.2500 0.2500 0.7500
Ge: 0.2500 0.2500 0.2500


*two*
A plane-wave DFT calculation with GGA-PBE was carried out for a relaxed structure of LaMgCoGe.

a b c (Å): 6.6636 6.6636 6.6636
angles (deg): 90.00 90.00 90.00
Space group F-43m (No. 216)
Inequivalent atoms, fractional coordinates:
La: 0.0000 0.0000 0.0000
Mg: 0.2500 0.2500 0.7500
Co: 0.2500 0.2500 0.2500
Ge: 0.0000 0.0000 0.5000


Which of them is most stable? Easy: *one*.


*one*
A plane-wave DFT calculation with GGA-PBE was carried out for a relaxed structure of LiLuCoGe.

a b c (Å): 6.2086 6.2086 6.2086
angles (deg): 90.00 90.00 90.00
Space group F-43m (No. 216)
Inequivalent atoms, fractional coordinates:
Li: 0.0000 0.0000 0.0000
Lu: 0.2500 0.2500 0.7500
Co: 0.0000 0.0000 0.5000
Ge: 0.2500 0.2500 0.2500


*two*
A plane-wave DFT calculation with GGA-PBE was carried out for a relaxed structure of LiLuCoGe.

a b c (Å): 6.2794 6.2794 6.2794
angles (deg): 90.00 90.00 90.00
Space group F-43m (No. 216)
Inequivalent atoms, fractional coordinates:
Li: 0.0000 0.0000 0.0000
Lu: 0.2500 0.2500 0.2500
Co: 0.2500 0.2500 0.7500
Ge: 0.0000 0.0000 0.5000


Which of them is most stable? Easy: *one*.